DFT (GGA-PBE) results for an optimized crystal structure of FeSe5.

a = 7.967 Å, b = 7.967 Å, c = 7.967 Å
α = 90.00°, β = 90.00°, γ = 90.00°
Space group F-43m (No. 216)
One atom of each set of equivalent atoms:
Fe: 0.000 0.000 0.000 (multiplicity 4)
Se: 0.125 0.125 0.375 (multiplicity 16)
Se: 0.250 0.250 0.750 (multiplicity 4)

* energy relative to the elements, uncorrected: 0.9025 eV/atom